## Na2CaNp3Te6 (PBE)

Data for a geometry-optimized Na2CaNp3Te6 structure.

Cell lengths 4.0043, 7.9734, 13.5963 Å; angles 121.53, 98.47, 90.00 degrees
Site moments in Bohr magnetons follow the coordinates.
Element x y z (fractional)
Na 0.8196 0.6853 0.6392  0.00
Na 0.1804 0.3147 0.3608  0.00
Te 0.9237 0.6135 0.8474  -0.08
Te 0.0763 0.3865 0.1526  -0.08
Te 0.9162 0.1335 0.8325  -0.10
Te 0.2497 0.7792 0.4993  -0.09
Te 0.0838 0.8665 0.1675  -0.10
Te 0.7503 0.2208 0.5007  -0.09
Np 0.5000 0.5000 0.0000  4.22
Np 0.6574 0.7617 0.3148  4.09
Np 0.3426 0.2383 0.6852  4.09
Ca 0.5000 0.0000 0.0000  0.03

Raw formation energy, meV per atom: -800
Spin magnetization, μB/f.u.: 13.00
Symmetry: C2/m